PBE HfSc2Be, optimized geometry; VASP energy = -6.57 eV/atom; total magnetization = 0.00 μB per cell; Fermi-level density of states = 4.47 states/eV/cell
1.0
-1.3446 2.6618 1.0546
-2.3090 -0.3192 -2.1382
-4.1939 -4.1587 5.1497
Sc Be Hf
2 1 1
Direct
0.0000 0.0000 0.7923
0.0000 0.0000 0.2077
0.5000 0.5000 0.0000
0.5000 0.5000 0.5000